(1)
# Li3Tl5, optimized geometry, DFT GGA-PBE
data_Li3Tl5
_cell_length_a 8.4004
_cell_length_b 8.4004
_cell_length_c 6.3357
_cell_angle_alpha 90.00
_cell_angle_beta 90.00
_cell_angle_gamma 120.00
_space_group_name_H-M_alt 'P 63/m c m'
_space_group_IT_number 193
_space_group_name_Hall '-P 6c 2'
loop_
_atom_site_label
_atom_site_fract_x
_atom_site_fract_y
_atom_site_fract_z
Li1 0.0000 0.4035 0.2500
Tl1 0.0000 0.2389 0.7500
Tl2 0.3333 0.6667 0.0000
# Energy above the lowest structure with this stoichiometry = 0.020 eV/atom
# E_form = -0.130 eV per atom

=====

(2)
# Li3Tl, optimized geometry, DFT GGA-PBE
data_Li3Tl
_cell_length_a 3.382
_cell_length_b 3.867
_cell_length_c 6.066
_cell_angle_alpha 90.00
_cell_angle_beta 90.00
_cell_angle_gamma 90.00
_space_group_name_H-M_alt 'P m m m'
_space_group_IT_number 47
_space_group_name_Hall '-P 2 2'
loop_
_atom_site_label
_atom_site_fract_x
_atom_site_fract_y
_atom_site_fract_z
Li1 0.000 0.000 0.000
Li2 0.500 0.500 0.257
Tl1 0.000 0.000 0.500
# E_form = -0.164 eV per atom

=====

(3)
# Li4Tl5, optimized geometry, DFT GGA-PBE
data_Li4Tl5
_cell_length_a 10.907
_cell_length_b 9.981
_cell_length_c 4.113
_cell_angle_alpha 90.00
_cell_angle_beta 111.33
_cell_angle_gamma 90.00
_space_group_name_H-M_alt 'C 1 2/m 1'
_space_group_IT_number 12
_space_group_name_Hall '-C 2y'
loop_
_atom_site_label
_atom_site_fract_x
_atom_site_fract_y
_atom_site_fract_z
Li1 0.168 0.169 0.169
Tl1 0.000 0.000 0.500
Tl2 0.000 0.324 0.500
Tl3 0.179 0.500 0.179
# E_form = -0.143 eV per atom

=====

Q: E_form of number 2 (Li3Tl)?
A: -0.164 eV per atom

=====

Q: Which formula does entry 3 have?
A: Li4Tl5